Entry 1:
Be2Zn2Sb, optimized geometry, DFT PBE-GGA; E_tot = -2.4476 eV per atom
1.0
3.7110 0.0000 0.0000
0.0000 3.7110 0.0000
1.8555 1.8555 5.5666
Sb Zn Be
1 2 2
Direct
0.0000 0.0000 0.0000
0.3840 0.3840 0.2321
0.6160 0.6160 0.7679
0.7500 0.2500 0.5000
0.2500 0.7500 0.5000



Entry 2:
BeZn2Sb, optimized geometry, DFT PBE-GGA; E_tot = -2.2540 eV per atom
1.0
8.1504 -0.0212 -0.0125
7.5238 3.1339 -0.0125
7.5238 1.4942 2.7548
Sb Zn Be
1 2 1
Direct
0.7500 0.7500 0.7500
0.9848 0.9848 0.9848
0.5152 0.5152 0.5152
0.2500 0.2500 0.2500



Entry 3:
BeZn2Sb, optimized geometry, DFT PBE-GGA; E_tot = -2.2511 eV per atom
1.0
3.6574 0.0000 0.0000
0.0000 3.8250 -0.1656
0.0000 1.7937 5.0912
Sb Zn Be
1 2 1
Direct
0.0000 0.0000 0.5000
0.0000 0.0000 0.0000
0.5000 0.5000 0.0000
0.5000 0.5000 0.5000



Entry 4:
Be2ZnSb, optimized geometry, DFT PBE-GGA; E_tot = -2.5672 eV per atom
1.0
2.2599 -3.6048 1.3098
-1.2382 -4.0371 -1.4094
2.5365 -2.2162 -2.9107
Sb Zn Be
1 1 2
Direct
0.5000 0.5000 0.5000
0.0000 0.0000 0.0000
0.2500 0.2500 0.2500
0.7500 0.7500 0.7500



Entry 5:
BeZn2Sb, optimized geometry, DFT PBE-GGA; E_tot = -2.3557 eV per atom
1.0
-0.0773 -0.9063 -3.9998
3.1949 0.1956 -0.1060
2.0340 -5.3127 1.1645
Sb Zn Be
1 2 1
Direct
0.5000 0.3253 0.7237
0.0000 0.1274 0.1256
0.5000 0.5871 0.2029
0.0000 0.4602 0.4477



Entry 6:
BeZnSb2, optimized geometry, DFT PBE-GGA; E_tot = -2.8512 eV per atom
1.0
6.0810 -0.0389 0.0000
3.5881 4.9097 0.0000
-4.8346 -2.4354 2.7705
Sb Zn Be
2 1 1
Direct
0.0000 0.0000 0.0000
0.2500 0.7500 0.5000
0.5000 0.5000 0.0000
0.7500 0.2500 0.5000



Entry 7:
Be2ZnSb, optimized geometry, DFT PBE-GGA; E_tot = -2.4612 eV per atom
1.0
-3.8526 1.7345 1.5138
-1.6657 -1.3380 3.9468
0.0241 2.7967 3.5100
Sb Zn Be
1 1 2
Direct
0.5000 0.5000 0.5000
0.2500 0.2500 0.2500
0.0000 0.0000 0.0000
0.7500 0.7500 0.7500



Entry 8:
BeZn2Sb, optimized geometry, DFT PBE-GGA; E_tot = -2.3455 eV per atom
1.0
4.3142 0.0469 -0.0235
3.1393 2.9596 -0.0235
1.0568 0.4263 5.4932
Sb Zn Be
1 2 1
Direct
0.7633 0.7633 0.7273
0.9898 0.9898 0.0706
0.2410 0.2410 0.2784
0.5058 0.5058 0.4237